Entry 1:
FeBr2: optimized geometry, GGA-PBEsol.

Summary:
SG = No. 72

Geometry as extended XYZ:
```
6
Lattice="-5.231 -3.977 -1.899 4.444 0.332 -5.191 2.309 -1.404 4.950" Properties=species:S:1:pos:R:3 pbc="T T T"
Br 1.167 -2.503 -4.466
Fe 1.338 -2.875 0.167
Br -0.069 -4.269 -1.178
Br 0.355 -2.546 2.325
Fe 0.183 -2.173 -2.308
Br 1.590 -0.779 -0.963
```

Entry 2:
FeBr: optimized geometry, GGA-PBEsol.

Summary:
SG = No. 194

Geometry as extended XYZ:
```
4
Lattice="4.066 0.000 0.000 -2.033 3.521 0.000 0.000 0.000 4.924" Properties=species:S:1:pos:R:3 pbc="T T T"
Br 0.000 2.348 1.231
Br 2.033 1.174 3.693
Fe 0.000 0.000 2.462
Fe 0.000 0.000 0.000
```

Entry 3:
Fe4Br: optimized geometry, GGA-PBEsol.

Summary:
SG = No. 139

Geometry as extended XYZ:
```
5
Lattice="3.332 0.000 0.000 0.000 3.332 0.000 -1.666 -1.666 8.168" Properties=species:S:1:pos:R:3 pbc="T T T"
Fe 0.000 0.000 2.349
Fe 0.000 1.666 4.084
Fe 1.666 0.000 4.084
Br 0.000 0.000 0.000
Fe 1.666 1.666 5.819
```

Entry 4:
FeBr2: optimized geometry, GGA-PBEsol.

Summary:
SG = No. 8

Geometry as extended XYZ:
```
6
Lattice="-0.843 3.229 -0.658 -4.426 -3.640 -3.401 -4.383 0.041 5.810" Properties=species:S:1:pos:R:3 pbc="T T T"
Fe -6.893 0.685 3.395
Br -6.230 -1.278 1.705
Br -4.879 -0.279 4.874
Fe -4.159 -0.552 2.615
Br -3.756 -1.249 -1.321
Br -3.036 1.334 1.643
```

Entry 5:
FeBr: optimized geometry, GGA-PBEsol.

Summary:
SG = No. 129

Geometry as extended XYZ:
```
4
Lattice="-3.049 -1.252 -0.258 0.936 -1.734 -2.654 1.831 -5.309 4.113" Properties=species:S:1:pos:R:3 pbc="T T T"
Fe 0.650 -6.443 2.378
Br 1.316 -3.816 2.956
Fe 0.124 -0.359 0.278
Br -0.542 -2.985 -0.300
```

Entry 6:
FeBr2: optimized geometry, GGA-PBEsol.

Summary:
SG = No. 139

Geometry as extended XYZ:
```
3
Lattice="-1.100 2.128 -2.158 -2.724 0.311 1.696 4.541 3.534 3.580" Properties=species:S:1:pos:R:3 pbc="T T T"
Fe 0.000 0.000 0.000
Br -1.263 2.395 0.597
Br 1.979 3.579 2.522
```

These records have energy values of -27.64; -20.41; -34.37; -26.96; -21.27; -12.74 eV for the cell shown, in the order they appear.
These records have energy relative to the elements, uncorrected values of -0.372; 0.313; 0.671; -0.259; 0.100; -0.012 eV per atom, in the order they appear.
These records have calculated volume values of 178; 71; 91; 159; 76; 66 Å³/cell, in the order they appear.